First-principles (GGA-PBEsol) data for Cd2HgRh after structural relaxation, as listed in the Alexandria database. Values from VASP.

```
&SYSTEM
  ibrav = 0, nat = 4, ntyp = 3
/
ATOMIC_SPECIES
Cd 112.41 Cd.upf
Hg 200.59 Hg.upf
Rh 102.91 Rh.upf
CELL_PARAMETERS angstrom
-1.692 -1.734 -1.892
-2.180 -1.650 3.461
-2.890 4.799 0.468
ATOMIC_POSITIONS crystal
Cd 0.024 0.000 0.951
Cd 0.719 0.500 0.282
Hg 0.314 0.000 0.488
Rh 0.443 0.500 0.779
```

Summary:
Space-group type ... No. 6
Formation energy ... 0.043 eV/f.u.


First-principles (GGA-PBEsol) data for IrRu after structural relaxation, as listed in the Alexandria database. Values from VASP.

```
&SYSTEM
  ibrav = 0, nat = 8, ntyp = 2
/
ATOMIC_SPECIES
Ru 101.07 Ru.upf
Ir 192.22 Ir.upf
CELL_PARAMETERS angstrom
-3.678 -0.266 2.194
-1.956 -2.350 -3.564
1.644 -4.687 2.187
ATOMIC_POSITIONS crystal
Ru 0.250 0.082 0.875
Ir 0.750 0.415 0.875
Ru 0.750 0.918 0.125
Ru 0.750 0.418 0.375
Ir 0.250 0.585 0.125
Ir 0.250 0.085 0.375
Ru 0.250 0.582 0.625
Ir 0.750 0.915 0.625
```

Summary:
Space-group type ... No. 62
Relative energy among the computed polymorphs ... 0.18 kJ per mole of atoms
Formation energy ... -0.096 eV/f.u.


First-principles (GGA-PBEsol) data for SrCdCo after structural relaxation, as listed in the Alexandria database. Values from VASP.

```
&SYSTEM
  ibrav = 0, nat = 3, ntyp = 3
/
ATOMIC_SPECIES
Sr 87.62 Sr.upf
Co 58.93 Co.upf
Cd 112.41 Cd.upf
CELL_PARAMETERS angstrom
4.822 0.000 0.000
2.411 4.176 0.000
2.411 1.392 3.937
ATOMIC_POSITIONS crystal
Sr 0.500 0.500 0.500
Co 0.000 0.000 0.000
Cd 0.750 0.750 0.750
```

Summary:
Space-group type ... No. 216
Formation energy ... 2.129 eV/f.u.


Number 1: total DFT energy (no corrections) -11.06 eV for the cell shown, density 11.89 g/cm3. Number 2: total DFT energy (no corrections) -80.37 eV for the cell shown, density 17.81 g/cm3. Number 3: total DFT energy (no corrections) -8.65 eV for the cell shown, density 5.42 g/cm3.